(1)
Here is crystalline Pu4Ge2Sb at its relaxed geometry from Alexandria. Energies are from PBE.

Cell lengths 7.726, 7.726, 7.726 Å; angles 109.90, 109.90, 108.62 degrees
Sites, in units of the cell vectors:
Pu: 0.142 0.724 0.745
Pu: 0.146 0.229 0.755
Pu: 0.276 0.021 0.418
Pu: 0.474 0.392 0.245
Pu: 0.604 0.858 0.582
Pu: 0.608 0.854 0.082
Pu: 0.771 0.526 0.918
Pu: 0.979 0.396 0.255
Ge: 0.240 0.625 0.115
Ge: 0.375 0.490 0.615
Ge: 0.510 0.125 0.885
Ge: 0.875 0.760 0.385
Sb: 0.000 0.000 0.000
Sb: 0.750 0.250 0.500

Computed properties:
Its space group is I-42d, No. 122. The energy relative to the elements, uncorrected comes out at -0.472 eV/atom. The mass density is 11.63 g/cm3.

(2)
Here is crystalline Pu6GeSb3 at its relaxed geometry from Alexandria. Energies are from PBE.

Cell lengths 5.352, 5.352, 10.158 Å; angles 106.77, 106.77, 71.99 degrees
Sites, in units of the cell vectors:
Pu: 0.056 0.572 0.665
Pu: 0.257 0.257 0.841
Pu: 0.428 0.944 0.335
Pu: 0.572 0.056 0.665
Pu: 0.743 0.743 0.159
Pu: 0.944 0.428 0.335
Ge: 0.000 0.000 0.500
Sb: 0.000 0.000 0.000
Sb: 0.376 0.376 0.168
Sb: 0.624 0.624 0.832

Computed properties:
Its space group is C2/m, No. 12. The energy relative to the elements, uncorrected comes out at -0.224 eV/atom. The mass density is 12.22 g/cm3.

(3)
Here is crystalline Pu6GeSb at its relaxed geometry from Alexandria. Energies are from PBE.

Cell lengths 4.546, 4.546, 9.241 Å; angles 90.00, 90.00, 90.00 degrees
Sites, in units of the cell vectors:
Pu: 0.000 0.000 0.000
Pu: 0.000 0.000 0.500
Pu: 0.000 0.500 0.245
Pu: 0.000 0.500 0.755
Pu: 0.500 0.000 0.245
Pu: 0.500 0.000 0.755
Ge: 0.500 0.500 0.000
Sb: 0.500 0.500 0.500

Computed properties:
Its space group is P4/mmm, No. 123. The energy relative to the elements, uncorrected comes out at -0.277 eV/atom. The mass density is 14.42 g/cm3.

(4)
Here is crystalline Pu5Ge2Sb2 at its relaxed geometry from Alexandria. Energies are from PBE.

Cell lengths 8.563, 8.563, 7.945 Å; angles 90.00, 90.00, 55.15 degrees
Sites, in units of the cell vectors:
Pu: 0.000 0.000 0.000
Pu: 0.050 0.689 0.681
Pu: 0.189 0.550 0.181
Pu: 0.311 0.950 0.681
Pu: 0.450 0.811 0.181
Pu: 0.500 0.500 0.500
Pu: 0.550 0.189 0.819
Pu: 0.689 0.050 0.319
Pu: 0.811 0.450 0.819
Pu: 0.950 0.311 0.319
Ge: 0.115 0.885 0.385
Ge: 0.385 0.615 0.885
Ge: 0.615 0.385 0.115
Ge: 0.885 0.115 0.615
Sb: 0.213 0.213 0.000
Sb: 0.287 0.287 0.500
Sb: 0.713 0.713 0.500
Sb: 0.787 0.787 0.000

Computed properties:
Its space group is Cmce, No. 64. The energy relative to the elements, uncorrected comes out at -0.527 eV/atom. The mass density is 11.18 g/cm3.

(5)
Here is crystalline PuGeSb2 at its relaxed geometry from Alexandria. Energies are from PBE.

Cell lengths 4.575, 4.575, 4.576 Å; angles 90.00, 90.00, 90.00 degrees
Sites, in units of the cell vectors:
Pu: 0.000 0.000 0.000
Ge: 0.500 0.500 0.000
Sb: 0.000 0.500 0.500
Sb: 0.500 0.000 0.500

Computed properties:
Its space group is P4/mmm, No. 123. The energy relative to the elements, uncorrected comes out at -0.326 eV/atom. The value obtained for the offset from the most stable computed form is 0.0 kJ per mole of atoms. The mass density is 9.71 g/cm3.

(6)
Here is crystalline PuSnGeSb at its relaxed geometry from Alexandria. Energies are from PBE.

Cell lengths 4.310, 4.553, 4.565 Å; angles 90.00, 90.00, 90.00 degrees
Sites, in units of the cell vectors:
Pu: 0.000 0.000 0.000
Sn: 0.000 0.500 0.500
Ge: 0.500 0.000 0.500
Sb: 0.500 0.500 0.000

Computed properties:
Its space group is Pmmm, No. 47. The energy relative to the elements, uncorrected comes out at 0.152 eV/atom. The mass density is 10.33 g/cm3.

(7)
Here is crystalline Pu2ScGe at its relaxed geometry from Alexandria. Energies are from PBE.

Cell lengths 4.260, 4.260, 4.806 Å; angles 90.00, 90.00, 90.00 degrees
Sites, in units of the cell vectors:
Pu: 0.000 0.500 0.000
Pu: 0.500 0.000 0.000
Sc: 0.000 0.000 0.500
Ge: 0.500 0.500 0.500

Computed properties:
Its space group is P4/mmm, No. 123. For the energy relative to the elements, the calculation gives -0.3168 eV per atom. The mass density is 11.53 g/cm3.

(8)
Here is crystalline PuScGe2 at its relaxed geometry from Alexandria. Energies are from PBE.

Cell lengths 3.192, 3.192, 8.020 Å; angles 90.00, 90.00, 90.00 degrees
Sites, in units of the cell vectors:
Pu: 0.000 0.000 0.000
Sc: 0.000 0.000 0.500
Ge: 0.500 0.500 0.264
Ge: 0.500 0.500 0.736

Computed properties:
Its space group is P4/mmm, No. 123. For the energy relative to the elements, the calculation gives -0.5304 eV per atom. The value obtained for the offset from the most stable computed form is 4.1 kJ per mole of atoms. The mass density is 8.82 g/cm3.

(9)
Here is crystalline PuScGe2 at its relaxed geometry from Alexandria. Energies are from PBE.

Cell lengths 8.362, 8.362, 8.362 Å; angles 24.68, 24.68, 24.68 degrees
Sites, in units of the cell vectors:
Pu: 0.000 0.000 0.000
Sc: 0.500 0.500 0.500
Ge: 0.245 0.245 0.245
Ge: 0.755 0.755 0.755

Computed properties:
Its space group is R-3m, No. 166. For the energy relative to the elements, the calculation gives -0.3723 eV per atom. The value obtained for the offset from the most stable computed form is 19.3 kJ per mole of atoms. The mass density is 8.04 g/cm3.

(10)
Here is crystalline PuSc2Ge4 at its relaxed geometry from Alexandria. Energies are from PBE.

Cell lengths 9.363, 9.363, 9.363 Å; angles 155.99, 154.76, 35.12 degrees
Sites, in units of the cell vectors:
Pu: 0.000 0.000 0.000
Sc: 0.182 0.682 0.500
Sc: 0.818 0.318 0.500
Ge: 0.336 0.836 0.500
Ge: 0.430 0.430 0.000
Ge: 0.570 0.570 0.000
Ge: 0.664 0.164 0.500

Computed properties:
Its space group is Immm, No. 71. For the energy relative to the elements, the calculation gives -0.5934 eV per atom. The mass density is 7.29 g/cm3.

(11)
Here is crystalline PuScGe2 at its relaxed geometry from Alexandria. Energies are from PBE.

Cell lengths 3.858, 5.675, 5.675 Å; angles 44.21, 90.00, 90.00 degrees
Sites, in units of the cell vectors:
Pu: 0.000 0.000 0.000
Sc: 0.500 0.272 0.272
Ge: 0.000 0.726 0.726
Ge: 0.500 0.555 0.555

Computed properties:
Its space group is Amm2, No. 38. For the energy relative to the elements, the calculation gives -0.5726 eV per atom. The value obtained for the offset from the most stable computed form is 0.0 kJ per mole of atoms. The mass density is 8.32 g/cm3.

(12)
Here is crystalline PuScGe at its relaxed geometry from Alexandria. Energies are from PBE.

Cell lengths 5.594, 5.594, 5.594 Å; angles 141.58, 141.58, 55.46 degrees
Sites, in units of the cell vectors:
Pu: 0.000 0.000 0.000
Sc: 0.289 0.289 0.000
Ge: 0.672 0.672 0.000

Computed properties:
Its space group is I4mm, No. 107. For the energy relative to the elements, the calculation gives -0.3203 eV per atom. The mass density is 8.95 g/cm3.

(13)
Here is crystalline PuSc2Ge at its relaxed geometry from Alexandria. Energies are from PBE.

Cell lengths 9.810, 9.810, 9.810 Å; angles 19.45, 19.45, 19.45 degrees
Sites, in units of the cell vectors:
Pu: 0.000 0.000 0.000
Sc: 0.239 0.239 0.239
Sc: 0.761 0.761 0.761
Ge: 0.500 0.500 0.500

Computed properties:
Its space group is R-3m, No. 166. For the energy relative to the elements, the calculation gives -0.1670 eV per atom. The mass density is 7.38 g/cm3.

(14)
Here is crystalline PuScGe2 at its relaxed geometry from Alexandria. Energies are from PBE.

Cell lengths 4.892, 4.892, 4.892 Å; angles 60.00, 60.00, 60.00 degrees
Sites, in units of the cell vectors:
Pu: 0.000 0.000 0.000
Sc: 0.500 0.500 0.500
Ge: 0.250 0.250 0.250
Ge: 0.750 0.750 0.750

Computed properties:
Its space group is Fm-3m, No. 225. For the energy relative to the elements, the calculation gives -0.4876 eV per atom. The value obtained for the offset from the most stable computed form is 8.2 kJ per mole of atoms. The mass density is 8.71 g/cm3.

(15)
Here is crystalline PuScTlGe at its relaxed geometry from Alexandria. Energies are from PBE.

Cell lengths 5.100, 5.100, 5.100 Å; angles 60.00, 60.00, 60.00 degrees
Sites, in units of the cell vectors:
Pu: 0.000 0.000 0.000
Sc: 0.500 0.500 0.500
Tl: 0.750 0.750 0.750
Ge: 0.250 0.250 0.250

Computed properties:
Its space group is F-43m, No. 216. For the energy relative to the elements, the calculation gives -0.2469 eV per atom. The mass density is 10.02 g/cm3.

(16)
Here is crystalline PuScZnGe at its relaxed geometry from Alexandria. Energies are from PBE.

Cell lengths 4.890, 4.890, 4.890 Å; angles 60.00, 60.00, 60.00 degrees
Sites, in units of the cell vectors:
Pu: 0.000 0.000 0.000
Sc: 0.500 0.500 0.500
Zn: 0.750 0.750 0.750
Ge: 0.250 0.250 0.250

Computed properties:
Its space group is F-43m, No. 216. For the energy relative to the elements, the calculation gives -0.3803 eV per atom. The mass density is 8.57 g/cm3.

(17)
Here is crystalline Pu2GeSe at its relaxed geometry from Alexandria. Energies are from PBE.

Cell lengths 3.431, 3.431, 7.671 Å; angles 90.00, 90.00, 90.00 degrees
Sites, in units of the cell vectors:
Pu: 0.000 0.000 0.245
Pu: 0.000 0.000 0.755
Ge: 0.500 0.500 0.500
Se: 0.500 0.500 0.000

Computed properties:
Its space group is P4/mmm, No. 123. The energy relative to the elements, uncorrected comes out at -0.836 eV/atom. The value obtained for the offset from the most stable computed form is 11.1 kJ per mole of atoms. The mass density is 11.76 g/cm3.

(18)
Here is crystalline Pu2GeSe at its relaxed geometry from Alexandria. Energies are from PBE.

Cell lengths 7.893, 7.893, 7.893 Å; angles 29.18, 29.18, 29.18 degrees
Sites, in units of the cell vectors:
Pu: 0.000 0.000 0.000
Pu: 0.171 0.171 0.171
Ge: 0.584 0.584 0.584
Se: 0.754 0.754 0.754

Computed properties:
Its space group is R3m, No. 160. The energy relative to the elements, uncorrected comes out at -0.762 eV/atom. The value obtained for the offset from the most stable computed form is 18.3 kJ per mole of atoms. The mass density is 10.27 g/cm3.

(19)
Here is crystalline Pu2GeSe at its relaxed geometry from Alexandria. Energies are from PBE.

Cell lengths 11.450, 11.450, 4.102 Å; angles 90.00, 90.00, 158.28 degrees
Sites, in units of the cell vectors:
Pu: 0.061 0.939 0.750
Pu: 0.321 0.679 0.750
Pu: 0.679 0.321 0.250
Pu: 0.939 0.061 0.250
Ge: 0.461 0.539 0.750
Ge: 0.539 0.461 0.250
Se: 0.190 0.810 0.750
Se: 0.810 0.190 0.250

Computed properties:
Its space group is Cmcm, No. 63. The energy relative to the elements, uncorrected comes out at -0.952 eV/atom. The value obtained for the offset from the most stable computed form is 0.0 kJ per mole of atoms. The mass density is 10.67 g/cm3.

(20)
Here is crystalline Pu4GeSe3 at its relaxed geometry from Alexandria. Energies are from PBE.

Cell lengths 7.214, 8.343, 7.231 Å; angles 90.00, 109.47, 90.00 degrees
Sites, in units of the cell vectors:
Pu: 0.247 0.122 0.499
Pu: 0.247 0.878 0.999
Pu: 0.248 0.374 0.999
Pu: 0.248 0.626 0.499
Pu: 0.752 0.374 0.501
Pu: 0.752 0.626 0.001
Pu: 0.753 0.122 0.001
Pu: 0.753 0.878 0.501
Ge: 0.000 0.128 0.750
Ge: 0.000 0.872 0.250
Se: 0.000 0.375 0.250
Se: 0.000 0.625 0.750
Se: 0.500 0.127 0.250
Se: 0.500 0.375 0.750
Se: 0.500 0.625 0.250
Se: 0.500 0.873 0.750

Computed properties:
Its space group is P2/c, No. 13. The energy relative to the elements, uncorrected comes out at -1.224 eV/atom. The value obtained for the offset from the most stable computed form is 0.0 kJ per mole of atoms. The mass density is 10.41 g/cm3.